DFT (PBE-GGA) results for a geometry-optimized LiCa2Ta structure.

abc: 3.124 5.587 5.979
angles: 90.00 90.01 90.00
Space group Pm (No. 6)
Unique sites:
Li: 0.000 0.000 0.000 (multiplicity 1)
Ca: 0.498 0.500 0.813 (multiplicity 1)
Ca: 0.499 0.000 0.451 (multiplicity 1)
Ta: 0.998 0.500 0.307 (multiplicity 1)

Properties
* raw total energy: -3.8134 eV per atom
* total magnetization: 0.3138 μB/atom
* formation energy from the elements: 243 kJ/mol of formula units

***

DFT (PBE-GGA) results for a geometry-optimized ReBiS2F structure.

abc: 4.724 4.724 4.408
angles: 90.00 90.00 90.00
Space group P4/mmm (No. 123)
Unique sites:
Re: 0.000 0.000 0.000 (multiplicity 1)
Bi: 0.500 0.500 0.000 (multiplicity 1)
S: 0.000 0.500 0.500 (multiplicity 2)
F: 0.500 0.500 0.500 (multiplicity 1)

Properties
* raw total energy: -4.2303 eV per atom
* total magnetization: 0.5849 μB/atom
* E_form (uncorrected): 1.06 eV/atom

***

DFT (PBE-GGA) results for a geometry-optimized Th2Cr2C3 structure.

abc: 11.826 3.386 5.696
angles: 90.00 117.05 90.00
Space group C2/m (No. 12)
Unique sites:
Th: 0.101 0.000 0.309 (multiplicity 4)
Cr: 0.165 0.500 0.828 (multiplicity 4)
C: 0.000 0.500 0.500 (multiplicity 2)
C: 0.247 0.000 0.781 (multiplicity 4)

Properties
* raw total energy: -9.0608 eV per atom
* total magnetization: 0.0000 μB/atom
* formation energy from the elements: -161 kJ/mol of formula units

***

DFT (PBE-GGA) results for a geometry-optimized CeYSe2S structure.

abc: 4.201 4.201 14.464
angles: 90.00 90.00 90.00
Space group P4/nmm (No. 129, origin choice 2)
Unique sites:
Ce: 0.250 0.250 0.122 (multiplicity 2)
Y: 0.250 0.250 0.604 (multiplicity 2)
Se: 0.250 0.250 0.401 (multiplicity 2)
Se: 0.250 0.250 0.795 (multiplicity 2)
S: 0.250 0.750 0.000 (multiplicity 2)

Properties
* raw total energy: -6.4738 eV per atom
* total magnetization: 0.1250 μB/atom
* E_form (uncorrected): -1.77 eV/atom

***

DFT (PBE-GGA) results for a geometry-optimized Pm2HoPd structure.

abc: 6.560 6.719 12.920
angles: 90.00 120.48 90.00
Space group P2_1/c (No. 14)
Unique sites:
Pm: 0.007 0.217 0.087 (multiplicity 4)
Pm: 0.334 0.217 0.913 (multiplicity 4)
Ho: 0.304 0.750 0.250 (multiplicity 4)
Pd: 0.339 0.000 0.589 (multiplicity 4)

Properties
* raw total energy: -5.0915 eV per atom
* total magnetization: 0.0000 μB/atom
* formation energy from the elements: -106 kJ/mol of formula units

***

DFT (PBE-GGA) results for a geometry-optimized SrSbTeO6 structure.

abc: 5.4670 5.4670 10.8448
angles: 90.00 90.00 120.00
Space group P-31c (No. 163)
Unique sites:
Sr: 0.0000 0.0000 0.0000 (multiplicity 2)
Sb: 0.3333 0.6667 0.2500 (multiplicity 2)
Te: 0.3333 0.6667 0.7500 (multiplicity 2)
O: 0.0065 0.3812 0.1457 (multiplicity 12)

Properties
* raw total energy: -5.9528 eV per atom
* total magnetization: 0.0001 μB/atom
* E_form (uncorrected): -1.65 eV/atom